The following is a DFT calculation (PBE-GGA) of Ca3U3AgTe8 after structural relaxation.

Lattice parameters (Å, degrees): 8.709 8.706 8.985 118.97 90.00 120.01
Last column: magnetic moment on the atom in μB.
Sites, in units of the cell vectors:
Ag 0.000 0.000 0.500  -0.02
Te 0.750 0.500 0.750  -0.04
Ca 0.500 0.500 0.000  0.02
Te 0.750 0.006 0.256  -0.06
Ca 0.000 0.000 0.000  0.02
U 0.500 0.500 0.500  2.72
Ca 0.000 0.500 0.000  0.02
Te 0.744 0.994 0.744  -0.06
Te 0.250 0.500 0.250  -0.04
U 0.500 0.000 0.500  2.72
Te 0.256 0.006 0.256  -0.06
Te 0.750 0.501 0.257  -0.06
Te 0.250 0.994 0.744  -0.06
U 0.000 0.500 0.500  2.72
Te 0.250 0.499 0.743  -0.06

VASP energy = -5.41 eV per atom
SG = R-3m, No. 166


The following is a DFT calculation (PBE-GGA) of CaYAgTe3 after structural relaxation.

Lattice parameters (Å, degrees): 4.316 8.505 10.219 103.17 90.00 90.00
Sites, in units of the cell vectors:
Ca 0.250 0.206 0.274
Ag 0.750 0.916 0.414
Y 0.750 0.320 0.828
Te 0.750 0.415 0.146
Te 0.750 0.927 0.142
Te 0.250 0.073 0.858
Ag 0.250 0.084 0.586
Te 0.250 0.722 0.480
Ca 0.750 0.794 0.726
Te 0.750 0.278 0.520
Te 0.250 0.585 0.854
Y 0.250 0.680 0.172

VASP energy = -4.62 eV per atom
SG = P2_1/m, No. 11


The following is a DFT calculation (PBE-GGA) of Ca3Y2AgTe6 after structural relaxation.

Lattice parameters (Å, degrees): 7.706 7.706 7.674 99.67 99.67 119.95
Sites, in units of the cell vectors:
Ca 0.166 0.834 0.500
Te 0.586 0.920 0.759
Y 0.667 0.333 0.000
Y 0.333 0.667 0.000
Te 0.414 0.080 0.241
Ca 0.500 0.500 0.500
Te 0.747 0.747 0.241
Te 0.920 0.586 0.759
Te 0.080 0.414 0.241
Te 0.253 0.253 0.759
Ca 0.834 0.166 0.500
Ag 0.000 0.000 0.000

VASP energy = -4.70 eV per atom
SG = C2/m, No. 12


The following is a DFT calculation (PBE-GGA) of CaZnAg2Te after structural relaxation.

Lattice parameters (Å, degrees): 5.344 5.887 5.344 90.00 90.00 90.00
Sites, in units of the cell vectors:
Ca 0.000 0.500 0.000
Ag 0.500 0.000 0.000
Te 0.000 0.000 0.000
Ag 0.000 0.000 0.500
Zn 0.500 0.500 0.500

VASP energy = -2.26 eV per atom
SG = P4/mmm, No. 123


The following is a DFT calculation (PBE-GGA) of Ca2ThAg3 after structural relaxation.

Lattice parameters (Å, degrees): 3.651 3.651 11.549 90.00 90.00 90.00
Sites, in units of the cell vectors:
Ag 0.000 0.000 0.329
Ca 0.500 0.500 0.836
Ca 0.500 0.500 0.164
Ag 0.000 0.000 0.000
Th 0.500 0.500 0.500
Ag 0.000 0.000 0.671

Formation enthalpy at 0 K = -124 kJ/mol of formula units
SG = P4/mmm, No. 123


The following is a DFT calculation (PBE-GGA) of Ca3ThAg4 after structural relaxation.

Lattice parameters (Å, degrees): 6.429 6.429 6.429 109.47 109.47 109.47
Sites, in units of the cell vectors:
Ca 0.500 0.500 0.000
Th 0.000 0.000 0.000
Ca 0.500 0.000 0.500
Ag 0.000 0.000 0.500
Ag 0.500 0.500 0.500
Ag 0.000 0.500 0.000
Ag 0.500 0.000 0.000
Ca 0.000 0.500 0.500

Formation enthalpy at 0 K = -161 kJ/mol of formula units
SG = Im-3m, No. 229